Record 1
Here is SnOsRu3 after structural relaxation from Alexandria. Energies are from PBE.

a b c (Å): 4.740 4.740 4.740
angles (deg): 90.00 90.00 90.00
Atoms (fractional coordinates):
Sn 0.000 0.000 0.000
Os 0.500 0.500 0.500
Ru 0.000 0.500 0.500
Ru 0.500 0.000 0.500
Ru 0.500 0.500 0.000

Calculated values
DOS at the Fermi energy   5.758 states/eV/cell
ρ   9.55 g cm⁻³
V   106 Å³/cell
E   -35.9 eV per cell
Energy relative to the elements   1.436 eV/atom
Offset from the most stable computed form   0 meV/atom
Magnetic moment   0.00 μB per cell

Record 2
Here is Zn2SiMo after structural relaxation from Alexandria. Energies are from PBE.

a b c (Å): 2.839 2.839 26.388
angles (deg): 90.00 90.00 120.00
Atoms (fractional coordinates):
Zn 0.000 0.000 0.250
Zn 0.000 0.000 0.750
Zn 0.333 0.667 0.417
Zn 0.333 0.667 0.917
Zn 0.667 0.333 0.083
Zn 0.667 0.333 0.583
Si 0.000 0.000 0.000
Si 0.333 0.667 0.667
Si 0.667 0.333 0.333
Mo 0.000 0.000 0.500
Mo 0.333 0.667 0.167
Mo 0.667 0.333 0.833

Calculated values
DOS at the Fermi energy   11.964 states/eV/cell
ρ   6.89 g cm⁻³
V   184 Å³/cell
E   -52.7 eV per cell
Raw formation energy   119 kJ/mol of formula units
Magnetic moment   0.00 μB per cell

Record 3
Here is SrTa2MnN4 after structural relaxation from Alexandria. Energies are from PBE.

a b c (Å): 5.727 5.727 10.915
angles (deg): 90.00 90.00 148.05
Atoms (fractional coordinates):
Sr 0.104 0.896 0.750
Sr 0.896 0.104 0.250
Ta 0.369 0.631 0.549
Ta 0.369 0.631 0.951
Ta 0.631 0.369 0.049
Ta 0.631 0.369 0.451
Mn 0.163 0.837 0.250
Mn 0.837 0.163 0.750
N 0.000 0.000 0.000
N 0.000 0.000 0.500
N 0.266 0.734 0.109
N 0.266 0.734 0.391
N 0.427 0.573 0.750
N 0.573 0.427 0.250
N 0.734 0.266 0.609
N 0.734 0.266 0.891

Calculated values
DOS at the Fermi energy   7.452 states/eV/cell
ρ   9.82 g cm⁻³
V   189 Å³/cell
E   -150.0 eV per cell
Raw formation energy   -687 kJ/mol of formula units
Magnetic moment   1.22 μB per cell

Record 4
Here is NaMnNi after structural relaxation from Alexandria. Energies are from PBE.

a b c (Å): 2.521 5.278 7.333
angles (deg): 109.31 96.37 99.63
Atoms (fractional coordinates):
Na 0.198 0.196 0.392
Na 0.802 0.804 0.608
Mn 0.411 0.188 0.000
Mn 0.589 0.812 0.000
Ni 0.092 0.592 0.186
Ni 0.908 0.408 0.814

Calculated values
DOS at the Fermi energy   3.679 states/eV/cell
ρ   5.08 g cm⁻³
V   89 Å³/cell
E   -30.2 eV per cell
Energy relative to the elements   0.385 eV/atom
Offset from the most stable computed form   151 meV/atom
Magnetic moment   0.00 μB per cell

Record 5
Here is K3TaCd after structural relaxation from Alexandria. Energies are from PBE.

a b c (Å): 6.422 6.422 6.422
angles (deg): 90.00 90.00 90.00
Atoms (fractional coordinates):
K 0.000 0.000 0.500
K 0.000 0.500 0.000
K 0.500 0.000 0.000
Ta 0.500 0.500 0.500
Cd 0.000 0.000 0.000

Calculated values
DOS at the Fermi energy   6.982 states/eV/cell
ρ   2.57 g cm⁻³
V   265 Å³/cell
E   -9.1 eV per cell
Energy relative to the elements   1.386 eV/atom
Offset from the most stable computed form   60 meV/atom
Magnetic moment   4.55 μB per cell

Record 6
Here is YPuHgPb after structural relaxation from Alexandria. Energies are from PBE.

a b c (Å): 7.611 7.611 7.611
angles (deg): 90.00 90.00 90.00
Atoms (fractional coordinates):
Y 0.000 0.000 0.000
Y 0.000 0.500 0.500
Y 0.500 0.000 0.500
Y 0.500 0.500 0.000
Pu 0.000 0.000 0.500
Pu 0.000 0.500 0.000
Pu 0.500 0.000 0.000
Pu 0.500 0.500 0.500
Hg 0.250 0.250 0.750
Hg 0.250 0.750 0.250
Hg 0.750 0.250 0.250
Hg 0.750 0.750 0.750
Pb 0.250 0.250 0.250
Pb 0.250 0.750 0.750
Pb 0.750 0.250 0.750
Pb 0.750 0.750 0.250

Calculated values
DOS at the Fermi energy   42.662 states/eV/cell
ρ   11.16 g cm⁻³
V   441 Å³/cell
E   -104.0 eV per cell
Energy relative to the elements   -0.300 eV/atom
Magnetic moment   26.94 μB per cell

Record 7
Here is TePd3Se after structural relaxation from Alexandria. Energies are from PBE.

a b c (Å): 4.763 4.763 4.763
angles (deg): 90.00 90.00 90.00
Atoms (fractional coordinates):
Te 0.000 0.000 0.000
Pd 0.000 0.500 0.500
Pd 0.500 0.000 0.500
Pd 0.500 0.500 0.000
Se 0.500 0.500 0.500

Calculated values
DOS at the Fermi energy   5.259 states/eV/cell
ρ   8.08 g cm⁻³
V   108 Å³/cell
E   -21.5 eV per cell
Raw formation energy   70 kJ/mol of formula units
Offset from the most stable computed form   366 meV/atom
Magnetic moment   0.00 μB per cell

Record 8
Here is TbPmSc after structural relaxation from Alexandria. Energies are from PBE.

a b c (Å): 3.499 4.933 10.455
angles (deg): 90.00 90.00 90.00
Atoms (fractional coordinates):
Tb 0.250 0.250 0.236
Tb 0.750 0.750 0.764
Pm 0.250 0.250 0.591
Pm 0.750 0.750 0.409
Sc 0.250 0.250 0.923
Sc 0.750 0.750 0.077

Calculated values
DOS at the Fermi energy   8.878 states/eV/cell
ρ   6.42 g cm⁻³
V   180 Å³/cell
E   -31.1 eV per cell
Energy relative to the elements   0.058 eV/atom
Offset from the most stable computed form   19 meV/atom
Magnetic moment   0.00 μB per cell

Record 9
Here is V3SnPd after structural relaxation from Alexandria. Energies are from PBE.

a b c (Å): 4.660 4.660 4.660
angles (deg): 90.00 90.00 90.00
Atoms (fractional coordinates):
V 0.000 0.000 0.500
V 0.000 0.500 0.000
V 0.500 0.000 0.000
Sn 0.500 0.500 0.500
Pd 0.000 0.000 0.000

Calculated values
DOS at the Fermi energy   7.225 states/eV/cell
ρ   6.20 g cm⁻³
V   101 Å³/cell
E   -31.6 eV per cell
Energy relative to the elements   0.995 eV/atom
Offset from the most stable computed form   0 meV/atom
Magnetic moment   3.57 μB per cell

Record 10
Here is UBiPdPt after structural relaxation from Alexandria. Energies are from PBE.

a b c (Å): 6.973 6.973 6.973
angles (deg): 90.00 90.00 90.00
Atoms (fractional coordinates):
U 0.000 0.000 0.000
U 0.000 0.500 0.500
U 0.500 0.000 0.500
U 0.500 0.500 0.000
Bi 0.000 0.000 0.500
Bi 0.000 0.500 0.000
Bi 0.500 0.000 0.000
Bi 0.500 0.500 0.500
Pd 0.250 0.250 0.750
Pd 0.250 0.750 0.250
Pd 0.750 0.250 0.250
Pd 0.750 0.750 0.750
Pt 0.250 0.250 0.250
Pt 0.250 0.750 0.750
Pt 0.750 0.250 0.750
Pt 0.750 0.750 0.250

Calculated values
DOS at the Fermi energy   27.000 states/eV/cell
ρ   14.66 g cm⁻³
V   339 Å³/cell
E   -111.2 eV per cell
Energy relative to the elements   -0.349 eV/atom
Magnetic moment   8.89 μB per cell

Record 11
Here is GeSbN3 after structural relaxation from Alexandria. Energies are from PBE.

a b c (Å): 4.053 4.053 4.053
angles (deg): 90.00 90.00 90.00
Atoms (fractional coordinates):
Ge 0.000 0.000 0.000
Sb 0.500 0.500 0.500
N 0.000 0.500 0.500
N 0.500 0.000 0.500
N 0.500 0.500 0.000

Calculated values
DOS at the Fermi energy   2.714 states/eV/cell
ρ   5.90 g cm⁻³
V   67 Å³/cell
E   -26.4 eV per cell
Raw formation energy   709 kJ/mol of formula units
Magnetic moment   0.00 μB per cell

Record 12
Here is LiMn2InN after structural relaxation from Alexandria. Energies are from PBE.

a b c (Å): 3.808 3.808 4.210
angles (deg): 90.00 90.00 90.00
Atoms (fractional coordinates):
Li 0.000 0.000 0.000
Mn 0.000 0.500 0.500
Mn 0.500 0.000 0.500
In 0.500 0.500 0.000
N 0.000 0.000 0.500

Calculated values
DOS at the Fermi energy   3.034 states/eV/cell
ρ   6.68 g cm⁻³
V   61 Å³/cell
E   -32.5 eV per cell
Raw formation energy   -118 kJ/mol of formula units
Magnetic moment   3.27 μB per cell